Computed, not measured: TbHo4Tm after structural relaxation at the PBE level of DFT.

Cell lengths 4.961, 6.091, 7.035 Å; angles 73.13, 89.99, 66.05 degrees
Element x y z (fractional)
Tb (0.000, 0.000, 0.000)
Ho (0.333, 0.334, 0.666)
Ho (0.334, 0.332, 0.167)
Ho (0.666, 0.668, 0.833)
Ho (0.667, 0.666, 0.334)
Tm (0.000, 0.000, 0.500)

## Properties
**Magnetic moment**: 0.00 μB per formula unit
**Formation enthalpy at 0 K**: 21 meV per atom
**Volume**: 30.71 A^3/atom
**Energy relative to the lowest polymorph listed for this composition**: 18.0 meV/atom